A plane-wave DFT calculation with GGA-PBE was carried out for a relaxed LuAlAg2 crystal.

Cell: 6.7497 6.7497 6.7497 Å, 90.00 90.00 90.00°
Space group Fm-3m (No. 225)
Symmetry-distinct sites (fractional):
Lu (0.0000, 0.0000, 0.0000)
Al (0.0000, 0.0000, 0.5000)
Ag (0.2500, 0.2500, 0.2500)

## Properties
Calculated volume = 77 Å³/f.u.
Energy above the lowest structure with this stoichiometry = 0 meV per atom
VASP energy = -3.810 eV per atom
Formation enthalpy at 0 K = -1.273 eV per formula unit

---

A plane-wave DFT calculation with GGA-PBE was carried out for a relaxed CdPW2 crystal.

Cell: 3.0011 4.4566 9.7505 Å, 90.00 90.00 90.00°
Space group Imm2 (No. 44)
Symmetry-distinct sites (fractional):
Cd (0.0000, 0.0000, 0.0000)
P (0.0000, 0.5000, 0.7553)
W (0.0000, 0.0000, 0.4463)
W (0.0000, 0.5000, 0.2114)

## Properties
Calculated volume = 65 Å³/f.u.
Energy above the lowest structure with this stoichiometry = 259 meV per atom
VASP energy = -7.545 eV per atom
Formation enthalpy at 0 K = 2.049 eV per formula unit

---

A plane-wave DFT calculation with GGA-PBE was carried out for a relaxed Ac2Tl3SnTe6 crystal.

Cell: 21.0754 4.7088 9.6936 Å, 90.00 105.38 90.00°
Space group C2/m (No. 12)
Symmetry-distinct sites (fractional):
Ac (0.1628, 0.0000, 0.3307)
Tl (0.0000, 0.5000, 0.5000)
Tl (0.1713, 0.0000, 0.8389)
Sn (0.0000, 0.5000, 0.0000)
Te (0.0009, 0.0000, 0.7747)
Te (0.1557, 0.5000, 0.0871)
Te (0.1720, 0.5000, 0.5766)

## Properties
Calculated volume = 464 Å³/f.u.
Raw formation energy = -0.818 eV/atom
VASP energy = -3.999 eV per atom

---

A plane-wave DFT calculation with GGA-PBE was carried out for a relaxed CeYAgRh crystal.

Cell: 7.1430 7.1430 7.1430 Å, 90.00 90.00 90.00°
Space group F-43m (No. 216)
Symmetry-distinct sites (fractional):
Ce (0.0000, 0.0000, 0.0000)
Y (0.0000, 0.0000, 0.5000)
Ag (0.2500, 0.2500, 0.2500)
Rh (0.2500, 0.2500, 0.7500)

## Properties
Calculated volume = 91 Å³/f.u.
VASP energy = -6.081 eV per atom
Formation enthalpy at 0 K = -1.722 eV per formula unit

---

A plane-wave DFT calculation with GGA-PBE was carried out for a relaxed InPt2Cl crystal.

Cell: 3.0117 3.5764 7.1934 Å, 90.00 90.13 90.00°
Space group Pm (No. 6)
Symmetry-distinct sites (fractional):
In (0.0000, 0.0000, 0.0000)
Pt (0.0053, 0.0000, 0.4279)
Pt (0.5010, 0.5000, 0.2097)
Cl (0.0026, 0.5000, 0.6802)

## Properties
Calculated volume = 77 Å³/f.u.
Energy above the lowest structure with this stoichiometry = 38 meV per atom
Raw formation energy = -0.067 eV/atom
VASP energy = -4.234 eV per atom